# PBE La8Sb4AsSe3, optimized geometry
# Calculated volume = 31.82 Å³/atom
# Uncorrected formation energy = -2469.6 kJ/mol of formula units
# M_tot = 0.0 μB per cell
# DFT total energy = -96.608 eV for the cell shown
# Symmetry = No. 166
data_La8Sb4AsSe3
_chemical_formula_sum 'La8 Sb4 As1 Se3'
_space_group_name_H-M_alt 'P 1'
_space_group_IT_number 1
_cell_length_a 8.955
_cell_length_b 8.955
_cell_length_c 8.955
_cell_angle_alpha 60.12
_cell_angle_beta 60.12
_cell_angle_gamma 60.12
loop_
_space_group_symop_operation_xyz
'x,y,z'
loop_
_atom_site_label
_atom_site_fract_x
_atom_site_fract_y
_atom_site_fract_z
La1 0.247 0.247 0.247
La2 0.250 0.744 0.744
La3 0.256 0.256 0.750
La4 0.256 0.750 0.256
La5 0.744 0.250 0.744
La6 0.744 0.744 0.250
La7 0.750 0.256 0.256
La8 0.753 0.753 0.753
Sb1 0.000 0.000 0.000
Sb2 0.000 0.500 0.500
Sb3 0.500 0.000 0.500
Sb4 0.500 0.500 0.000
As1 0.500 0.500 0.500
Se1 0.000 0.000 0.500
Se2 0.000 0.500 0.000
Se3 0.500 0.000 0.000

***

# PBE La6Sb2AsSe3, optimized geometry
# Calculated volume = 30.83 Å³/atom
# Uncorrected formation energy = -1969.5 kJ/mol of formula units
# M_tot = 0.0 μB per cell
# DFT total energy = -73.325 eV for the cell shown
# Symmetry = No. 12
data_La6Sb2AsSe3
_chemical_formula_sum 'La6 Sb2 As1 Se3'
_space_group_name_H-M_alt 'P 1'
_space_group_IT_number 1
_cell_length_a 9.904
_cell_length_b 9.904
_cell_length_c 8.853
_cell_angle_alpha 102.54
_cell_angle_beta 102.54
_cell_angle_gamma 25.91
loop_
_space_group_symop_operation_xyz
'x,y,z'
loop_
_atom_site_label
_atom_site_fract_x
_atom_site_fract_y
_atom_site_fract_z
La1 0.003 0.003 0.260
La2 0.337 0.337 0.426
La3 0.337 0.337 0.910
La4 0.663 0.663 0.090
La5 0.663 0.663 0.574
La6 0.997 0.997 0.740
Sb1 0.167 0.167 0.834
Sb2 0.833 0.833 0.166
As1 0.500 0.500 0.500
Se1 0.168 0.168 0.335
Se2 0.500 0.500 0.000
Se3 0.832 0.832 0.665

***

# PBE LaSbAsSe2, optimized geometry
# Excess energy over the best structure of this formula in the dataset = 0.5631 eV per atom
# Calculated volume = 36.68 Å³/atom
# Uncorrected formation energy = 83.2 kJ/mol of formula units
# M_tot = 0.0 μB per cell
# DFT total energy = -19.806 eV for the cell shown
# Symmetry = No. 123
data_LaSbAsSe2
_chemical_formula_sum 'La1 Sb1 As1 Se2'
_space_group_name_H-M_alt 'P 1'
_space_group_IT_number 1
_cell_length_a 5.641
_cell_length_b 5.641
_cell_length_c 5.764
_cell_angle_alpha 90.00
_cell_angle_beta 90.00
_cell_angle_gamma 90.00
loop_
_space_group_symop_operation_xyz
'x,y,z'
loop_
_atom_site_label
_atom_site_fract_x
_atom_site_fract_y
_atom_site_fract_z
La1 0.000 0.000 0.000
Sb1 0.500 0.500 0.500
As1 0.000 0.000 0.500
Se1 0.000 0.500 0.000
Se2 0.500 0.000 0.000

***

# PBE La6SbAs2Se3, optimized geometry
# Calculated volume = 29.95 Å³/atom
# Uncorrected formation energy = -2044.3 kJ/mol of formula units
# M_tot = 0.0 μB per cell
# DFT total energy = -74.627 eV for the cell shown
# Symmetry = No. 12
data_La6SbAs2Se3
_chemical_formula_sum 'La6 Sb1 As2 Se3'
_space_group_name_H-M_alt 'P 1'
_space_group_IT_number 1
_cell_length_a 9.814
_cell_length_b 9.814
_cell_length_c 8.776
_cell_angle_alpha 102.69
_cell_angle_beta 102.69
_cell_angle_gamma 25.88
loop_
_space_group_symop_operation_xyz
'x,y,z'
loop_
_atom_site_label
_atom_site_fract_x
_atom_site_fract_y
_atom_site_fract_z
La1 0.003 0.003 0.260
La2 0.330 0.330 0.907
La3 0.331 0.331 0.422
La4 0.669 0.669 0.578
La5 0.670 0.670 0.093
La6 0.997 0.997 0.740
Sb1 0.500 0.500 0.000
As1 0.168 0.168 0.334
As2 0.832 0.832 0.666
Se1 0.165 0.165 0.833
Se2 0.500 0.500 0.500
Se3 0.835 0.835 0.167

***

# PBE La6Sb2As3Se, optimized geometry
# Calculated volume = 31.19 Å³/atom
# Uncorrected formation energy = -1808.6 kJ/mol of formula units
# M_tot = 0.0 μB per cell
# DFT total energy = -73.987 eV for the cell shown
# Symmetry = No. 12
data_La6Sb2As3Se
_chemical_formula_sum 'La6 Sb2 As3 Se1'
_space_group_name_H-M_alt 'P 1'
_space_group_IT_number 1
_cell_length_a 9.960
_cell_length_b 9.960
_cell_length_c 8.926
_cell_angle_alpha 103.23
_cell_angle_beta 103.23
_cell_angle_gamma 25.78
loop_
_space_group_symop_operation_xyz
'x,y,z'
loop_
_atom_site_label
_atom_site_fract_x
_atom_site_fract_y
_atom_site_fract_z
La1 0.004 0.004 0.246
La2 0.332 0.332 0.427
La3 0.337 0.337 0.908
La4 0.663 0.663 0.092
La5 0.668 0.668 0.573
La6 0.996 0.996 0.754
Sb1 0.166 0.166 0.831
Sb2 0.834 0.834 0.169
As1 0.166 0.166 0.335
As2 0.500 0.500 0.000
As3 0.834 0.834 0.665
Se1 0.500 0.500 0.500

***

# PBE La4Sb2AsSe, optimized geometry
# Calculated volume = 31.93 Å³/atom
# Uncorrected formation energy = -1195.1 kJ/mol of formula units
# M_tot = 0.0 μB per cell
# DFT total energy = -48.475 eV for the cell shown
# Symmetry = No. 10
data_La4Sb2AsSe
_chemical_formula_sum 'La4 Sb2 As1 Se1'
_space_group_name_H-M_alt 'P 1'
_space_group_IT_number 1
_cell_length_a 7.765
_cell_length_b 4.487
_cell_length_c 7.773
_cell_angle_alpha 90.00
_cell_angle_beta 109.41
_cell_angle_gamma 90.00
loop_
_space_group_symop_operation_xyz
'x,y,z'
loop_
_atom_site_label
_atom_site_fract_x
_atom_site_fract_y
_atom_site_fract_z
La1 0.242 0.000 0.237
La2 0.249 0.500 0.761
La3 0.751 0.500 0.239
La4 0.758 0.000 0.763
Sb1 0.000 0.000 0.500
Sb2 0.500 0.500 0.500
As1 0.000 0.500 0.000
Se1 0.500 0.000 0.000

***

# PBE La6Sb3AsSe2, optimized geometry
# Calculated volume = 31.87 Å³/atom
# Uncorrected formation energy = -1829.5 kJ/mol of formula units
# M_tot = 0.0 μB per cell
# DFT total energy = -72.512 eV for the cell shown
# Symmetry = No. 12
data_La6Sb3AsSe2
_chemical_formula_sum 'La6 Sb3 As1 Se2'
_space_group_name_H-M_alt 'P 1'
_space_group_IT_number 1
_cell_length_a 10.024
_cell_length_b 10.024
_cell_length_c 8.958
_cell_angle_alpha 102.85
_cell_angle_beta 102.85
_cell_angle_gamma 25.87
loop_
_space_group_symop_operation_xyz
'x,y,z'
loop_
_atom_site_label
_atom_site_fract_x
_atom_site_fract_y
_atom_site_fract_z
La1 0.001 0.001 0.239
La2 0.332 0.332 0.422
La3 0.338 0.338 0.914
La4 0.662 0.662 0.086
La5 0.668 0.668 0.578
La6 0.999 0.999 0.761
Sb1 0.168 0.168 0.833
Sb2 0.500 0.500 0.500
Sb3 0.832 0.832 0.167
As1 0.500 0.500 0.000
Se1 0.167 0.167 0.334
Se2 0.833 0.833 0.666

***

# PBE LaSbAsSe2, optimized geometry
# Excess energy over the best structure of this formula in the dataset = 0.0000 eV per atom
# Calculated volume = 29.16 Å³/atom
# Uncorrected formation energy = -188.5 kJ/mol of formula units
# M_tot = 0.0 μB per cell
# DFT total energy = -22.622 eV for the cell shown
# Symmetry = No. 123
data_LaSbAsSe2
_chemical_formula_sum 'La1 Sb1 As1 Se2'
_space_group_name_H-M_alt 'P 1'
_space_group_IT_number 1
_cell_length_a 5.273
_cell_length_b 5.273
_cell_length_c 5.244
_cell_angle_alpha 90.00
_cell_angle_beta 90.00
_cell_angle_gamma 90.00
loop_
_space_group_symop_operation_xyz
'x,y,z'
loop_
_atom_site_label
_atom_site_fract_x
_atom_site_fract_y
_atom_site_fract_z
La1 0.000 0.000 0.000
Sb1 0.500 0.500 0.500
As1 0.500 0.500 0.000
Se1 0.000 0.500 0.500
Se2 0.500 0.000 0.500

***

# PBE LaSi2SbAs, optimized geometry
# Calculated volume = 31.41 Å³/atom
# Uncorrected formation energy = 312.5 kJ/mol of formula units
# M_tot = 0.0 μB per cell
# DFT total energy = -21.307 eV for the cell shown
# Symmetry = No. 123
data_LaSi2SbAs
_chemical_formula_sum 'La1 Si2 Sb1 As1'
_space_group_name_H-M_alt 'P 1'
_space_group_IT_number 1
_cell_length_a 5.058
_cell_length_b 5.058
_cell_length_c 6.140
_cell_angle_alpha 90.00
_cell_angle_beta 90.00
_cell_angle_gamma 90.00
loop_
_space_group_symop_operation_xyz
'x,y,z'
loop_
_atom_site_label
_atom_site_fract_x
_atom_site_fract_y
_atom_site_fract_z
La1 0.000 0.000 0.000
Si1 0.000 0.500 0.500
Si2 0.500 0.000 0.500
Sb1 0.000 0.000 0.500
As1 0.500 0.500 0.000

***

# PBE LaSmSbAs, optimized geometry
# Calculated volume = 30.55 Å³/atom
# Uncorrected formation energy = -529.7 kJ/mol of formula units
# M_tot = 0.0 μB per cell
# DFT total energy = -23.908 eV for the cell shown
# Symmetry = No. 160
data_LaSmSbAs
_chemical_formula_sum 'La1 Sm1 Sb1 As1'
_space_group_name_H-M_alt 'P 1'
_space_group_IT_number 1
_cell_length_a 7.689
_cell_length_b 7.689
_cell_length_c 7.689
_cell_angle_alpha 33.33
_cell_angle_beta 33.33
_cell_angle_gamma 33.33
loop_
_space_group_symop_operation_xyz
'x,y,z'
loop_
_atom_site_label
_atom_site_fract_x
_atom_site_fract_y
_atom_site_fract_z
La1 0.000 0.000 0.000
Sm1 0.490 0.490 0.490
Sb1 0.242 0.242 0.242
As1 0.747 0.747 0.747

***

# PBE La6Sb2TeAs3, optimized geometry
# Calculated volume = 32.03 Å³/atom
# Uncorrected formation energy = -1744.2 kJ/mol of formula units
# M_tot = 0.0 μB per cell
# DFT total energy = -72.977 eV for the cell shown
# Symmetry = No. 12
data_La6Sb2TeAs3
_chemical_formula_sum 'La6 Sb2 Te1 As3'
_space_group_name_H-M_alt 'P 1'
_space_group_IT_number 1
_cell_length_a 10.058
_cell_length_b 10.058
_cell_length_c 9.019
_cell_angle_alpha 103.45
_cell_angle_beta 103.45
_cell_angle_gamma 25.71
loop_
_space_group_symop_operation_xyz
'x,y,z'
loop_
_atom_site_label
_atom_site_fract_x
_atom_site_fract_y
_atom_site_fract_z
La1 0.004 0.004 0.236
La2 0.328 0.328 0.425
La3 0.336 0.336 0.909
La4 0.664 0.664 0.091
La5 0.672 0.672 0.575
La6 0.996 0.996 0.764
Sb1 0.166 0.166 0.831
Sb2 0.834 0.834 0.169
Te1 0.500 0.500 0.500
As1 0.166 0.166 0.334
As2 0.500 0.500 0.000
As3 0.834 0.834 0.666

***

# PBE LaSb2TeAs, optimized geometry
# Excess energy over the best structure of this formula in the dataset = 0.0000 eV per atom
# Calculated volume = 31.50 Å³/atom
# Uncorrected formation energy = -59.5 kJ/mol of formula units
# M_tot = 0.0 μB per cell
# DFT total energy = -21.580 eV for the cell shown
# Symmetry = No. 123
data_LaSb2TeAs
_chemical_formula_sum 'La1 Sb2 Te1 As1'
_space_group_name_H-M_alt 'P 1'
_space_group_IT_number 1
_cell_length_a 5.335
_cell_length_b 5.335
_cell_length_c 5.535
_cell_angle_alpha 90.00
_cell_angle_beta 90.00
_cell_angle_gamma 90.00
loop_
_space_group_symop_operation_xyz
'x,y,z'
loop_
_atom_site_label
_atom_site_fract_x
_atom_site_fract_y
_atom_site_fract_z
La1 0.000 0.000 0.000
Sb1 0.000 0.500 0.500
Sb2 0.500 0.000 0.500
Te1 0.500 0.500 0.000
As1 0.500 0.500 0.500